Material: Ca2Ac6Co
Method: DFT, PBE
State: optimized geometry

Calculated values
Density ... 6.66 Mg/m³
DOS(E_F) ... 1.32 states/eV/atom

Unit cell a=8.095 b=8.095 c=11.422 alpha=90.00 beta=90.00 gamma=90.00
Each line ends with the local moment (μB).
Fractional positions:
Ac: 0.250 0.750 0.000  0.07
Co: 0.500 0.500 0.000  0.32
Ac: 0.250 0.250 0.000  0.07
Ac: 0.250 0.750 0.500  0.07
Ca: 0.500 0.000 0.250  0.04
Ca: 0.000 0.500 0.250  0.04
Ac: 0.500 0.500 0.250  0.07
Ac: 0.750 0.250 0.500  0.07
Ac: 0.750 0.750 0.000  0.07
Ac: 0.250 0.250 0.500  0.07
Ac: 0.000 0.000 0.750  0.07
Ac: 0.750 0.250 0.000  0.07
Ac: 0.000 0.000 0.250  0.07
Ac: 0.750 0.750 0.500  0.07
Ca: 0.000 0.500 0.750  0.04
Ac: 0.500 0.500 0.750  0.07
Co: 0.000 0.000 0.500  0.32
Ca: 0.500 0.000 0.750  0.04

---

Material: CaAcCo
Method: DFT, PBE
State: optimized geometry

Calculated values
Density ... 6.16 Mg/m³
DOS(E_F) ... 0.60 states/eV/atom

Unit cell a=3.601 b=3.601 c=7.235 alpha=104.41 beta=104.41 gamma=90.00
Each line ends with the local moment (μB).
Fractional positions:
Co: 0.671 0.671 0.342  0.69
Ca: 0.039 0.039 0.079  -0.04
Ac: 0.289 0.289 0.579  -0.10

---

Material: CaAc6Co2
Method: DFT, PBE
State: optimized geometry

Calculated values
Density ... 7.75 Mg/m³
DOS(E_F) ... 1.19 states/eV/atom

Unit cell a=9.472 b=9.472 c=9.472 alpha=110.49 beta=112.69 gamma=105.31
Each line ends with the local moment (μB).
Fractional positions:
Ac: 0.308 0.690 0.999  -0.01
Ac: 0.771 0.979 0.207  0.00
Ac: 0.510 0.817 0.693  -0.01
Ac: 0.490 0.183 0.307  -0.01
Co: 0.500 0.106 0.606  0.34
Ac: 0.692 0.690 0.382  -0.01
Co: 0.400 0.400 0.000  -0.05
Ac: 0.229 0.436 0.207  0.00
Ac: 0.771 0.564 0.793  0.00
Ac: 0.308 0.310 0.618  -0.01
Co: 0.500 0.894 0.394  0.34
Ac: 0.692 0.310 0.001  -0.01
Co: 0.600 0.600 0.000  -0.05
Ca: 0.000 0.500 0.500  0.00
Ac: 0.876 0.183 0.693  -0.01
Ac: 0.124 0.817 0.307  -0.01
Ac: 0.229 0.021 0.793  0.00
Ca: 0.000 0.000 0.000  0.01

---

Material: Ca5Ac4Co
Method: DFT, PBE
State: optimized geometry

Calculated values
Density ... 4.64 Mg/m³
DOS(E_F) ... 1.54 states/eV/atom

Unit cell a=3.942 b=11.228 c=9.762 alpha=99.15 beta=101.65 gamma=90.00
Fractional positions:
Ac: 0.346 0.966 0.692
Ac: 0.997 0.822 0.994
Ca: 0.172 0.717 0.344
Ca: 0.824 0.613 0.647
Co: 0.500 0.000 0.000
Ca: 0.828 0.283 0.656
Ac: 0.654 0.034 0.308
Ac: 0.003 0.178 0.006
Ca: 0.176 0.387 0.353
Ca: 0.500 0.500 0.000

---

Material: CaAc2Co2
Method: DFT, PBE
State: optimized geometry

Calculated values
Density ... 6.67 Mg/m³
DOS(E_F) ... 1.16 states/eV/atom

Unit cell a=4.194 b=4.097 c=9.097 alpha=103.02 beta=90.00 gamma=90.00
Each line ends with the local moment (μB).
Fractional positions:
Ac: 0.500 0.345 0.691  -0.08
Co: 0.000 0.221 0.443  0.98
Co: 0.000 0.779 0.557  0.98
Ac: 0.500 0.655 0.309  -0.08
Ca: 0.000 0.000 0.000  0.00

---

Material: CaAc6Co3
Method: DFT, PBE
State: optimized geometry

Calculated values
Density ... 7.49 Mg/m³
DOS(E_F) ... 0.80 states/eV/atom

Unit cell a=4.160 b=13.144 c=13.113 alpha=102.47 beta=90.00 gamma=90.00
Fractional positions:
Co: 0.250 0.526 0.156
Ac: 0.750 0.802 0.806
Ac: 0.750 0.673 0.246
Ac: 0.750 0.388 0.043
Ac: 0.250 0.477 0.364
Ca: 0.750 0.027 0.634
Ac: 0.250 0.069 0.906
Co: 0.750 0.474 0.844
Co: 0.750 0.148 0.052
Ac: 0.750 0.523 0.636
Ac: 0.250 0.761 0.528
Ac: 0.250 0.327 0.754
Ac: 0.750 0.931 0.094
Ac: 0.750 0.239 0.472
Ac: 0.250 0.198 0.194
Co: 0.750 0.627 0.456
Ac: 0.250 0.612 0.957
Co: 0.250 0.852 0.948
Ca: 0.250 0.973 0.366
Co: 0.250 0.373 0.544

---

Material: CaAc2Co
Method: DFT, PBE
State: optimized geometry

Calculated values
Density ... 6.63 Mg/m³
DOS(E_F) ... 1.34 states/eV/atom

Unit cell a=3.726 b=3.726 c=9.982 alpha=90.00 beta=90.00 gamma=90.00
Each line ends with the local moment (μB).
Fractional positions:
Co: 0.500 0.500 0.000  0.85
Ac: 0.000 0.000 0.174  -0.05
Ca: 0.500 0.500 0.500  0.01
Ac: 0.000 0.000 0.826  -0.05

---

Material: CaAcCo
Method: DFT, PBE
State: optimized geometry

Calculated values
Density ... 5.55 Mg/m³
DOS(E_F) ... 1.08 states/eV/atom

Unit cell a=4.082 b=4.169 c=11.644 alpha=100.31 beta=90.00 gamma=90.00
Each line ends with the local moment (μB).
Fractional positions:
Ac: 0.250 0.074 0.148  -0.08
Ac: 0.750 0.926 0.852  -0.08
Ca: 0.250 0.305 0.609  -0.01
Ca: 0.750 0.695 0.391  -0.01
Co: 0.250 0.477 0.955  1.00
Co: 0.750 0.523 0.045  1.00

---

Short version: spin magnetization = 2.0 0.3 0.2 0.0 1.5 0.0 0.7 0.7 μB/f.u., in the order given.
Short version: calculated total energy = -0.292 -0.312 -0.330 -0.243 -0.359 -0.352 -0.310 -0.323 Ry/atom, in the order given.
Short version: V = 374 88 326 418 152 350 139 97 Å³/f.u., in the order given.